1.
Here is a geometry-optimized CeDyScTi structure from Alexandria via LeMat-Bulk. Energies are from PBE-GGA.

It has space group F-43m (No. 216), with a = 7.407 Å, b = 7.407 Å, c = 7.407 Å, α = 90.00°, β = 90.00° and γ = 90.00°. The inequivalent atoms are Ce at (0.000, 0.000, 0.000), Dy at (0.000, 0.000, 0.500), Sc at (0.250, 0.250, 0.750) and Ti at (0.250, 0.250, 0.250).

The calculation puts the total moment at 5.10 μB per cell. The calculation puts the formation energy at 4.67 kcal/mol of atoms.

=====

2.
Here is a geometry-optimized ScCdCl4 structure from Alexandria via LeMat-Bulk. Energies are from PBE-GGA.

It has space group F-43m (No. 216), with a = 8.282 Å, b = 8.282 Å, c = 8.282 Å, α = 90.00°, β = 90.00° and γ = 90.00°. The inequivalent atoms are Sc at (0.000, 0.000, 0.000), Cd at (0.250, 0.250, 0.750) and Cl at (0.125, 0.125, 0.375).

As for the energy relative to the elements, uncorrected: -0.0049 eV per atom. The calculation puts the total moment at 3.92 μB per cell.

=====

3.
Here is a geometry-optimized MgTa2N3 structure from Alexandria via LeMat-Bulk. Energies are from PBE-GGA.

It has space group Immm (No. 71), with a = 3.085 Å, b = 4.325 Å, c = 9.412 Å, α = 90.00°, β = 90.00° and γ = 90.00°. The inequivalent atoms are Mg at (0.000, 0.000, 0.000), Ta at (0.000, 0.000, 0.333), N at (0.000, 0.500, 0.000) and N at (0.000, 0.500, 0.339).

As for the energy relative to the elements, uncorrected: -1.0695 eV per atom. The calculation puts the total moment at 0.00 μB per cell. The calculation puts the offset from the most stable computed form at 138 meV/atom.

=====

4.
Here is a geometry-optimized Er3As2S2 structure from Alexandria via LeMat-Bulk. Energies are from PBE-GGA.

It has space group C2/m (No. 12), with a = 14.886 Å, b = 3.991 Å, c = 7.126 Å, α = 90.00°, β = 118.28° and γ = 90.00°. The inequivalent atoms are Er at (0.000, 0.000, 0.000), Er at (0.223, 0.500, 0.704), As at (0.136, 0.500, 0.988) and S at (0.131, 0.000, 0.432).

As for the energy relative to the elements, uncorrected: -1.4958 eV per atom. The calculation puts the total moment at 0.00 μB per cell.

=====

5.
Here is a geometry-optimized SmGaCo structure from Alexandria via LeMat-Bulk. Energies are from PBE-GGA.

It has space group C2/m (No. 12), with a = 11.252 Å, b = 4.194 Å, c = 5.049 Å, α = 90.00°, β = 103.22° and γ = 90.00°. The inequivalent atoms are Sm at (0.121, 0.000, 0.314), Ga at (0.096, 0.500, 0.796) and Co at (0.207, 0.000, 0.871).

The calculation puts the total moment at 0.00 μB per cell. The calculation puts the formation energy at -10.04 kcal/mol of atoms.

=====

6.
Here is a geometry-optimized Cd2In2Pb structure from Alexandria via LeMat-Bulk. Energies are from PBE-GGA.

It has space group C2/m (No. 12), with a = 22.533 Å, b = 4.745 Å, c = 4.945 Å, α = 90.00°, β = 90.01° and γ = 90.00°. The inequivalent atoms are Cd at (0.043, 0.000, 0.250), Cd at (0.044, 0.500, 0.750), In at (0.142, 0.000, 0.749), In at (0.250, 0.000, 0.250) and Pb at (0.144, 0.500, 0.249).

The calculation puts the total moment at 0.00 μB per cell. The calculation puts the offset from the most stable computed form at 0 meV/atom. The calculation puts the formation energy at 0.71 kcal/mol of atoms.